{"formula": "BaMoO2", "functional": "PBE+U", "state": "optimized geometry", "lattice_angstrom": [[-4.864, 1.043, -1.601], [0.635, -3.246, -4.046], [-4.185, -5.653, 0.504]], "species": ["Mo", "Mo", "Ba", "Ba", "O", "O", "O", "O"], "frac_coords": [[0.500, 0.500, 0.000], [0.250, 0.750, 0.500], [0.000, 0.000, 0.000], [0.750, 0.250, 0.500], [0.545, 0.125, 0.250], [0.205, 0.625, 0.250], [0.375, 0.455, 0.750], [0.875, 0.795, 0.750]], "e_above_lowest_polymorph_ev_per_fu": 1.00, "e_tot_ev_per_atom": -6.12, "dos_at_fermi_per_ev_atom": 0.2089, "density_kg_m3": 5371, "sg": "I-42d, No. 122"}